! MgSnAu, optimized geometry, DFT PBE; values from VASP
&SYSTEM
  ibrav = 0, nat = 3, ntyp = 3
/
ATOMIC_SPECIES
Sn 118.71 Sn.upf
Mg 24.30 Mg.upf
Au 196.97 Au.upf
CELL_PARAMETERS angstrom
3.4116 0.0000 0.0000
0.0000 3.4116 0.0000
-1.7058 -1.7058 5.5782
ATOMIC_POSITIONS angstrom
Sn 1.7058 1.7058 1.2285
Mg 0.0000 0.0000 3.4205
Au 1.7058 1.7058 4.8338
! - magnetic moment (μB/f.u.) = 0.000
! - space-group type = No. 107
! - energy of formation (eV per atom) = -0.273
! - DFT total energy (eV/atom) = -3.232